Record 1
The following is a DFT calculation (GGA-PBE) of an optimized crystal structure of CaPbI4.

Lattice parameters (Å, degrees): 9.345 7.501 15.596 90.00 90.39 90.00
Atoms (fractional coordinates):
Ca1 0.124 0.003 0.130
Ca2 0.124 0.497 0.630
Ca3 0.876 0.503 0.370
Ca4 0.876 0.997 0.870
Pb1 0.371 0.507 0.371
Pb2 0.371 0.993 0.871
Pb3 0.629 0.007 0.129
Pb4 0.629 0.493 0.629
I1 0.114 0.741 0.797
I2 0.114 0.759 0.297
I3 0.119 0.229 0.957
I4 0.119 0.271 0.457
I5 0.368 0.248 0.700
I6 0.368 0.252 0.200
I7 0.369 0.734 0.548
I8 0.369 0.766 0.048
I9 0.631 0.234 0.952
I10 0.631 0.266 0.452
I11 0.632 0.748 0.800
I12 0.632 0.752 0.300
I13 0.881 0.729 0.543
I14 0.881 0.771 0.043
I15 0.886 0.241 0.703
I16 0.886 0.259 0.203

Calculated values
V	1093.3	Å³ per cell
spin magnetization	0.0	μB per formula unit
raw total energy	-74.5	eV per cell
energy relative to the elements, uncorrected	-1.12	eV/atom
space group	P2_1/c (14)
mass density	4.6	Mg/m³

Record 2
The following is a DFT calculation (GGA-PBE) of an optimized crystal structure of CaPbI4.

Lattice parameters (Å, degrees): 8.368 8.368 8.019 106.57 106.57 31.89
Atoms (fractional coordinates):
Ca1 0.000 0.000 0.000
Pb1 0.500 0.500 0.500
I1 0.119 0.119 0.393
I2 0.384 0.384 0.090
I3 0.616 0.616 0.910
I4 0.881 0.881 0.607

Calculated values
V	283.3	Å³ per cell
spin magnetization	0.0	μB per formula unit
raw total energy	-18.7	eV per cell
energy relative to the elements, uncorrected	-1.14	eV/atom
space group	C2/m (12)
mass density	4.4	Mg/m³

Record 3
The following is a DFT calculation (GGA-PBE) of an optimized crystal structure of CaPbI2.

Lattice parameters (Å, degrees): 5.752 5.752 5.752 60.00 60.00 60.00
Atoms (fractional coordinates):
Ca1 0.000 0.000 0.000
Pb1 0.500 0.500 0.500
I1 0.250 0.250 0.250
I2 0.750 0.750 0.750

Calculated values
distance to the lowest polymorph of the same formula	86	meV per atom
V	134.6	Å³ per cell
spin magnetization	0.0	μB per formula unit
raw total energy	-11.0	eV per cell
energy relative to the elements, uncorrected	-0.56	eV/atom
space group	Fm-3m (225)
mass density	6.2	Mg/m³

Record 4
The following is a DFT calculation (GGA-PBE) of an optimized crystal structure of Ca2Pb2I.

Lattice parameters (Å, degrees): 8.742 8.742 4.521 90.00 90.00 90.00
Atoms (fractional coordinates):
Ca1 0.177 0.323 0.000
Ca2 0.323 0.823 0.000
Ca3 0.677 0.177 0.000
Ca4 0.823 0.677 0.000
Pb1 0.118 0.618 0.500
Pb2 0.382 0.118 0.500
Pb3 0.618 0.882 0.500
Pb4 0.882 0.382 0.500
I1 0.000 0.000 0.000
I2 0.500 0.500 0.000

Calculated values
distance to the lowest polymorph of the same formula	0	meV per atom
V	345.5	Å³ per cell
spin magnetization	0.0	μB per formula unit
raw total energy	-32.0	eV per cell
energy relative to the elements, uncorrected	-0.61	eV/atom
space group	P4/mbm (127)
mass density	6.0	Mg/m³